Compound: YMn6Al6
Source: the Alexandria database
Functional: PBE-GGA
Structure: relaxed

Cell: 6.6271 6.6271 6.6271 Å, 136.34 99.08 96.82°
Last column: nearest neighbours and their distance in Å.
Fractional positions:
Y  0.0000  0.0000  0.0000  8 Al 2.91-3.05, 4 Mn 3.20
Mn  0.0000  0.0000  0.5000  4 Mn 2.46-2.52, 6 Al 2.52-2.63
Mn  0.0000  0.5000  0.0000  4 Mn 2.46-2.52, 6 Al 2.52-2.63
Mn  0.2368  0.5000  0.7368  4 Mn 2.52, 6 Al 2.61-2.67
Mn  0.5000  0.0000  0.0000  4 Mn 2.46-2.52, 6 Al 2.52-2.63
Mn  0.5000  0.5000  0.5000  4 Mn 2.46-2.52, 6 Al 2.52-2.63
Mn  0.7632  0.5000  0.2632  4 Mn 2.52, 6 Al 2.61-2.67
Al  0.1966  0.6966  0.5000  6 Mn 2.52-2.67, 2 Al 2.80
Al  0.3381  0.0000  0.3381  6 Mn 2.61-2.63, 1 Al 2.79, 1 Y 2.91
Al  0.3465  0.3465  0.0000  6 Mn 2.62-2.64, 3 Al 2.70-2.80
Al  0.6535  0.6535  0.0000  6 Mn 2.62-2.64, 3 Al 2.70-2.80
Al  0.6619  0.0000  0.6619  6 Mn 2.61-2.63, 1 Al 2.79, 1 Y 2.91
Al  0.8034  0.3034  0.5000  6 Mn 2.52-2.67, 2 Al 2.80

Energy in eV/atom: -6.70
E_form in eV per atom: -0.240
Spin magnetization in μB per formula unit: 7.040
Theoretical density in kg/m³: 5168

Compound: YMn3Al
Source: the Alexandria database
Functional: PBE-GGA
Structure: relaxed

Cell: 4.6149 4.6149 4.6149 Å, 90.00 90.00 90.00°
Last column: nearest neighbours and their distance in Å.
Fractional positions:
Y  0.0000  0.0000  0.0000  12 Mn 3.26
Mn  0.0000  0.5000  0.5000  2 Al 2.31
Mn  0.5000  0.0000  0.5000  2 Al 2.31
Mn  0.5000  0.5000  0.0000  2 Al 2.31
Al  0.5000  0.5000  0.5000  6 Mn 2.31

Offset from the most stable computed form in kJ/mol of atoms: 0.0
Energy in eV/atom: -6.96
E_form in eV per atom: 0.582
Spin magnetization in μB per formula unit: 9.036
Theoretical density in kg/m³: 4743

Compound: Y4MnAl
Source: the Alexandria database
Functional: PBE-GGA
Structure: relaxed

Cell: 6.2144 6.2144 6.2144 Å, 60.00 60.00 60.00°
Last column: nearest neighbours and their distance in Å.
Fractional positions:
Y  0.1250  0.1250  0.1250  6 Y 3.11
Y  0.1250  0.1250  0.6251  6 Y 3.11
Y  0.1250  0.6251  0.1250  6 Y 3.11
Y  0.6251  0.1250  0.1250  6 Y 3.11
Mn  0.5000  0.5000  0.5000  12 Y 3.64, 4 Al 3.81
Al  0.7500  0.7500  0.7500  12 Y 3.64, 4 Mn 3.81

Energy in eV/atom: -5.86
E_form in eV per atom: 0.597
Spin magnetization in μB per formula unit: 4.396
Theoretical density in kg/m³: 4281

Please write out number 3 again, unchanged.
Compound: Y4MnAl
Source: the Alexandria database
Functional: PBE-GGA
Structure: relaxed

Cell: 6.2144 6.2144 6.2144 Å, 60.00 60.00 60.00°
Last column: nearest neighbours and their distance in Å.
Fractional positions:
Y  0.1250  0.1250  0.1250  6 Y 3.11
Y  0.1250  0.1250  0.6251  6 Y 3.11
Y  0.1250  0.6251  0.1250  6 Y 3.11
Y  0.6251  0.1250  0.1250  6 Y 3.11
Mn  0.5000  0.5000  0.5000  12 Y 3.64, 4 Al 3.81
Al  0.7500  0.7500  0.7500  12 Y 3.64, 4 Mn 3.81

Energy in eV/atom: -5.86
E_form in eV per atom: 0.597
Spin magnetization in μB per formula unit: 4.396
Theoretical density in kg/m³: 4281

- The highest E_form belongs to which entry?
  Y4MnAl